(1)
DFT (PBE) results for an optimized crystal structure of Eu3HPd.

Summary:
* total DFT energy (no corrections): -8.187 eV/atom

Unit cell a=4.947 b=4.947 c=4.947 alpha=90.00 beta=90.00 gamma=90.00
Space group Pm-3m (No. 221)
One atom of each set of equivalent atoms:
Eu (0.000, 0.000, 0.500) [3 per cell]
H (0.000, 0.000, 0.000) [1 per cell]
Pd (0.500, 0.500, 0.500) [1 per cell]

=====

(2)
DFT (PBE) results for an optimized crystal structure of Eu3H12Pd5.

Summary:
* total DFT energy (no corrections): -5.150 eV/atom

Unit cell a=12.098 b=12.098 c=12.098 alpha=90.00 beta=90.00 gamma=90.00
Space group Ia-3d (No. 230)
One atom of each set of equivalent atoms:
Eu (0.000, 0.250, 0.125) [24 per cell]
H (0.036, 0.045, 0.637) [96 per cell]
Pd (0.000, 0.000, 0.000) [16 per cell]
Pd (0.000, 0.250, 0.375) [24 per cell]

=====

(3)
DFT (PBE) results for an optimized crystal structure of Eu2HPd.

Summary:
* offset from the most stable computed form: 0.0000 eV/atom

Unit cell a=4.0306 b=4.0306 c=19.7045 alpha=90.00 beta=90.00 gamma=120.00
Space group R-3m (No. 166, hexagonal axes)
One atom of each set of equivalent atoms:
Eu (0.0000, 0.0000, 0.2414) [6 per cell]
H (0.0000, 0.0000, 0.5000) [3 per cell]
Pd (0.0000, 0.0000, 0.0000) [3 per cell]

=====

(4)
DFT (PBE) results for an optimized crystal structure of EuH3Pd.

Summary:
* total DFT energy (no corrections): -5.643 eV/atom

Unit cell a=3.791 b=3.791 c=3.791 alpha=90.00 beta=90.00 gamma=90.00
Space group Pm-3m (No. 221)
One atom of each set of equivalent atoms:
Eu (0.000, 0.000, 0.000) [1 per cell]
H (0.000, 0.500, 0.500) [3 per cell]
Pd (0.500, 0.500, 0.500) [1 per cell]

=====

(5)
DFT (PBE) results for an optimized crystal structure of Eu2HPd4.

Summary:
* total DFT energy (no corrections): -6.874 eV/atom

Unit cell a=4.244 b=4.244 c=14.539 alpha=90.00 beta=90.00 gamma=90.00
Space group I4/mmm (No. 139)
One atom of each set of equivalent atoms:
Eu (0.000, 0.000, 0.157) [4 per cell]
H (0.000, 0.000, 0.500) [2 per cell]
Pd (0.000, 0.000, 0.369) [4 per cell]
Pd (0.000, 0.500, 0.000) [4 per cell]

=====

(6)
DFT (PBE) results for an optimized crystal structure of Eu2HPd.

Summary:
* offset from the most stable computed form: 0.0970 eV/atom

Unit cell a=3.460 b=3.460 c=7.190 alpha=90.00 beta=90.00 gamma=90.00
Space group P4/mmm (No. 123)
One atom of each set of equivalent atoms:
Eu (0.000, 0.000, 0.241) [2 per cell]
H (0.500, 0.500, 0.000) [1 per cell]
Pd (0.500, 0.500, 0.500) [1 per cell]

=====

(7)
DFT (PBE) results for an optimized crystal structure of PmEu3H.

Summary:
* total DFT energy (no corrections): -7.895 eV/atom

Unit cell a=5.320 b=5.320 c=5.320 alpha=90.00 beta=90.00 gamma=90.00
Space group Pm-3m (No. 221)
One atom of each set of equivalent atoms:
Pm (0.000, 0.000, 0.000) [1 per cell]
Eu (0.000, 0.500, 0.500) [3 per cell]
H (0.500, 0.500, 0.500) [1 per cell]

=====

(8)
DFT (PBE) results for an optimized crystal structure of Pr2EuH.

Summary:
* total DFT energy (no corrections): -5.935 eV/atom

Unit cell a=3.8084 b=3.8084 c=27.4392 alpha=90.00 beta=90.00 gamma=120.00
Space group R-3m (No. 166, hexagonal axes)
One atom of each set of equivalent atoms:
Pr (0.0000, 0.0000, 0.2182) [6 per cell]
Eu (0.0000, 0.0000, 0.0000) [3 per cell]
H (0.0000, 0.0000, 0.5000) [3 per cell]

=====

(9)
DFT (PBE) results for an optimized crystal structure of EuHPt3.

Summary:
* total DFT energy (no corrections): -6.803 eV/atom

Unit cell a=4.224 b=4.224 c=4.224 alpha=90.00 beta=90.00 gamma=90.00
Space group Pm-3m (No. 221)
One atom of each set of equivalent atoms:
Eu (0.000, 0.000, 0.000) [1 per cell]
H (0.500, 0.500, 0.500) [1 per cell]
Pt (0.000, 0.500, 0.500) [3 per cell]

=====

(10)
DFT (PBE) results for an optimized crystal structure of EuHPt2.

Summary:
* total DFT energy (no corrections): -6.158 eV/atom

Unit cell a=2.9814 b=2.9814 c=24.3240 alpha=90.00 beta=90.00 gamma=120.00
Space group R-3m (No. 166, hexagonal axes)
One atom of each set of equivalent atoms:
Eu (0.0000, 0.0000, 0.0000) [3 per cell]
H (0.0000, 0.0000, 0.5000) [3 per cell]
Pt (0.0000, 0.0000, 0.1155) [6 per cell]

=====

(11)
DFT (PBE) results for an optimized crystal structure of EuH3Pt.

Summary:
* total DFT energy (no corrections): -5.862 eV/atom

Unit cell a=3.795 b=3.795 c=3.795 alpha=90.00 beta=90.00 gamma=90.00
Space group Pm-3m (No. 221)
One atom of each set of equivalent atoms:
Eu (0.000, 0.000, 0.000) [1 per cell]
H (0.000, 0.500, 0.500) [3 per cell]
Pt (0.500, 0.500, 0.500) [1 per cell]

=====

(12)
DFT (PBE) results for an optimized crystal structure of Eu3PuH.

Summary:
* total DFT energy (no corrections): -9.676 eV/atom

Unit cell a=5.247 b=5.247 c=5.247 alpha=90.00 beta=90.00 gamma=90.00
Space group Pm-3m (No. 221)
One atom of each set of equivalent atoms:
Eu (0.000, 0.000, 0.500) [3 per cell]
Pu (0.500, 0.500, 0.500) [1 per cell]
H (0.000, 0.000, 0.000) [1 per cell]

=====

(13)
DFT (PBE) results for an optimized crystal structure of EuPuH2.

Summary:
* offset from the most stable computed form: 0.0000 eV/atom

Unit cell a=4.515 b=4.515 c=3.098 alpha=90.00 beta=90.00 gamma=90.00
Space group P4/mmm (No. 123)
One atom of each set of equivalent atoms:
Eu (0.000, 0.000, 0.000) [1 per cell]
Pu (0.500, 0.500, 0.000) [1 per cell]
H (0.000, 0.500, 0.500) [2 per cell]

=====

(14)
DFT (PBE) results for an optimized crystal structure of RbEu2H.

Summary:
* total DFT energy (no corrections): -6.238 eV/atom

Unit cell a=3.9438 b=3.9438 c=32.9760 alpha=90.00 beta=90.00 gamma=120.00
Space group R-3m (No. 166, hexagonal axes)
One atom of each set of equivalent atoms:
Rb (0.0000, 0.0000, 0.0000) [3 per cell]
Eu (0.0000, 0.0000, 0.1242) [6 per cell]
H (0.0000, 0.0000, 0.5000) [3 per cell]

=====

(15)
DFT (PBE) results for an optimized crystal structure of EuHRh3.

Summary:
* total DFT energy (no corrections): -7.313 eV/atom

Unit cell a=4.126 b=4.126 c=4.126 alpha=90.00 beta=90.00 gamma=90.00
Space group Pm-3m (No. 221)
One atom of each set of equivalent atoms:
Eu (0.000, 0.000, 0.000) [1 per cell]
H (0.500, 0.500, 0.500) [1 per cell]
Rh (0.000, 0.500, 0.500) [3 per cell]

=====

(16)
DFT (PBE) results for an optimized crystal structure of Eu3H12Rh5.

Summary:
* total DFT energy (no corrections): -5.684 eV/atom

Unit cell a=11.813 b=11.813 c=11.813 alpha=90.00 beta=90.00 gamma=90.00
Space group Ia-3d (No. 230)
One atom of each set of equivalent atoms:
Eu (0.000, 0.250, 0.125) [24 per cell]
H (0.040, 0.047, 0.635) [96 per cell]
Rh (0.000, 0.000, 0.000) [16 per cell]
Rh (0.000, 0.250, 0.375) [24 per cell]

=====

(17)
DFT (PBE) results for an optimized crystal structure of Eu2H4Rh.

Summary:
* total DFT energy (no corrections): -6.398 eV/atom

Unit cell a=3.788 b=3.788 c=12.782 alpha=90.00 beta=90.00 gamma=90.00
Space group I4/mmm (No. 139)
One atom of each set of equivalent atoms:
Eu (0.000, 0.000, 0.139) [4 per cell]
H (0.000, 0.000, 0.361) [4 per cell]
H (0.000, 0.500, 0.000) [4 per cell]
Rh (0.000, 0.000, 0.500) [2 per cell]

=====

(18)
DFT (PBE) results for an optimized crystal structure of EuHS2.

Summary:
* total DFT energy (no corrections): -6.445 eV/atom

Unit cell a=4.3093 b=4.3093 c=18.0037 alpha=90.00 beta=90.00 gamma=120.00
Space group R-3m (No. 166, hexagonal axes)
One atom of each set of equivalent atoms:
Eu (0.0000, 0.0000, 0.0000) [3 per cell]
H (0.0000, 0.0000, 0.5000) [3 per cell]
S (0.0000, 0.0000, 0.4100) [6 per cell]

=====

(19)
DFT (PBE) results for an optimized crystal structure of EuH2S.

Summary:
* total DFT energy (no corrections): -5.888 eV/atom

Unit cell a=4.2049 b=4.2049 c=10.9431 alpha=90.00 beta=90.00 gamma=120.00
Space group R-3m (No. 166, hexagonal axes)
One atom of each set of equivalent atoms:
Eu (0.0000, 0.0000, 0.0000) [3 per cell]
H (0.0000, 0.0000, 0.3450) [6 per cell]
S (0.0000, 0.0000, 0.5000) [3 per cell]

=====

(20)
DFT (PBE) results for an optimized crystal structure of EuSbH2.

Summary:
* total DFT energy (no corrections): -5.454 eV/atom

Unit cell a=3.6789 b=3.6789 c=16.9467 alpha=90.00 beta=90.00 gamma=120.00
Space group R-3m (No. 166, hexagonal axes)
One atom of each set of equivalent atoms:
Eu (0.0000, 0.0000, 0.0000) [3 per cell]
Sb (0.0000, 0.0000, 0.5000) [3 per cell]
H (0.0000, 0.0000, 0.2928) [6 per cell]

=====

Respective total moment values: 21.74; 21.29; 14.52; 7.19; 13.81; 14.45; 22.65; 7.69; 6.62; 7.53; 7.19; 28.99; 14.54; 15.12; 6.35; 20.71; 14.97; 6.00; 7.00; 6.50 μB per formula unit.